Entry 1:
DFT (GGA-PBEsol) results for a relaxed Al2AgAu crystal.

Cell and atoms, written as CIF:
```
data_Al2AgAu
_chemical_formula_sum 'Al4 Ag2 Au2'
_space_group_name_H-M_alt 'C 1 2/m 1'
_space_group_IT_number 12
_space_group_name_Hall '-C 2y'
_cell_length_a 8.633
_cell_length_b 2.991
_cell_length_c 5.128
_cell_angle_alpha 90.00
_cell_angle_beta 101.06
_cell_angle_gamma 90.00
loop_
_atom_site_label
_atom_site_type_symbol
_atom_site_fract_x
_atom_site_fract_y
_atom_site_fract_z
_atom_site_occupancy
Al1 Al 0.247 0.000 0.244 1
Ag1 Ag 0.000 0.000 0.500 1
Au1 Au 0.000 0.500 0.000 1
```

Results
ΔE_f, eV/atom: -0.1968
E_tot, eV for the cell shown: -32.41
ρ, g/cm³: 9.170
Fermi-level density of states, states/eV/atom: 0.355

---

Entry 2:
DFT (GGA-PBEsol) results for a relaxed LaMn2Co crystal.

Cell and atoms, written as CIF:
```
data_LaMn2Co
_chemical_formula_sum 'La1 Mn2 Co1'
_space_group_name_H-M_alt 'P 4 m m'
_space_group_IT_number 99
_space_group_name_Hall 'P 4 -2'
_cell_length_a 2.987
_cell_length_b 2.987
_cell_length_c 6.995
_cell_angle_alpha 90.00
_cell_angle_beta 90.00
_cell_angle_gamma 90.00
loop_
_atom_site_label
_atom_site_type_symbol
_atom_site_fract_x
_atom_site_fract_y
_atom_site_fract_z
_atom_site_occupancy
La1 La 0.000 0.000 0.000 1
Mn1 Mn 0.000 0.000 0.517 1
Mn2 Mn 0.500 0.500 0.349 1
Co1 Co 0.500 0.500 0.704 1
```

Results
ΔE_f, eV/atom: 0.3149
E_tot, eV for the cell shown: -31.35
ρ, g/cm³: 8.190
Fermi-level density of states, states/eV/atom: 1.256

---

Entry 3:
DFT (GGA-PBEsol) results for a relaxed Na2CaSb2 crystal.

Cell and atoms, written as CIF:
```
data_Na2CaSb2
_chemical_formula_sum 'Na4 Ca2 Sb4'
_space_group_name_H-M_alt 'I 4/m m m'
_space_group_IT_number 139
_space_group_name_Hall '-I 4 2'
_cell_length_a 4.564
_cell_length_b 4.564
_cell_length_c 13.877
_cell_angle_alpha 90.00
_cell_angle_beta 90.00
_cell_angle_gamma 90.00
loop_
_atom_site_label
_atom_site_type_symbol
_atom_site_fract_x
_atom_site_fract_y
_atom_site_fract_z
_atom_site_occupancy
Na1 Na 0.000 0.500 0.250 1
Ca1 Ca 0.000 0.000 0.000 1
Sb1 Sb 0.000 0.000 0.399 1
```

Results
Raw formation energy, eV/atom: -0.445
E_tot, eV for the cell shown: -32.54
ρ, g/cm³: 3.787
Fermi-level density of states, states/eV/atom: 0.547

---

Entry 4:
DFT (GGA-PBEsol) results for a relaxed MgTe2BrN crystal.

Cell and atoms, written as CIF:
```
data_MgTe2BrN
_chemical_formula_sum 'Mg1 Te2 Br1 N1'
_space_group_name_H-M_alt 'P 4/m m m'
_space_group_IT_number 123
_space_group_name_Hall '-P 4 2'
_cell_length_a 5.770
_cell_length_b 5.770
_cell_length_c 3.676
_cell_angle_alpha 90.00
_cell_angle_beta 90.00
_cell_angle_gamma 90.00
loop_
_atom_site_label
_atom_site_type_symbol
_atom_site_fract_x
_atom_site_fract_y
_atom_site_fract_z
_atom_site_occupancy
Mg1 Mg 0.000 0.000 0.000 1
Te1 Te 0.000 0.500 0.500 1
Br1 Br 0.500 0.500 0.500 1
N1 N 0.500 0.500 0.000 1
```

Results
Excess energy over the best structure of this formula in the dataset, kJ/mol of formula units: 144.0
Raw formation energy, eV/atom: 1.000
E_tot, eV for the cell shown: -14.17
ρ, g/cm³: 5.066
Fermi-level density of states, states/eV/atom: 0.681

---

Entry 5:
DFT (GGA-PBEsol) results for a relaxed LaYAg2 crystal.

Cell and atoms, written as CIF:
```
data_LaYAg2
_chemical_formula_sum 'La1 Y1 Ag2'
_space_group_name_H-M_alt 'P 4/m m m'
_space_group_IT_number 123
_space_group_name_Hall '-P 4 2'
_cell_length_a 5.197
_cell_length_b 5.197
_cell_length_c 3.642
_cell_angle_alpha 90.00
_cell_angle_beta 90.00
_cell_angle_gamma 90.00
loop_
_atom_site_label
_atom_site_type_symbol
_atom_site_fract_x
_atom_site_fract_y
_atom_site_fract_z
_atom_site_occupancy
La1 La 0.000 0.000 0.000 1
Y1 Y 0.500 0.500 0.000 1
Ag1 Ag 0.000 0.500 0.500 1
```

Results
ΔE_f, eV/atom: -0.2670
E_tot, eV for the cell shown: -19.86
ρ, g/cm³: 7.486
Fermi-level density of states, states/eV/atom: 0.741

---

Entry 6:
DFT (GGA-PBEsol) results for a relaxed CsK3Mo crystal.

Cell and atoms, written as CIF:
```
data_CsK3Mo
_chemical_formula_sum 'Cs1 K3 Mo1'
_space_group_name_H-M_alt 'P m -3 m'
_space_group_IT_number 221
_space_group_name_Hall '-P 4 2 3'
_cell_length_a 7.006
_cell_length_b 7.006
_cell_length_c 7.006
_cell_angle_alpha 90.00
_cell_angle_beta 90.00
_cell_angle_gamma 90.00
loop_
_atom_site_label
_atom_site_type_symbol
_atom_site_fract_x
_atom_site_fract_y
_atom_site_fract_z
_atom_site_occupancy
Cs1 Cs 0.000 0.000 0.000 1
K1 K 0.000 0.500 0.500 1
Mo1 Mo 0.500 0.500 0.500 1
```

Results
ΔE_f, eV/atom: 1.0966
E_tot, eV for the cell shown: -10.63
ρ, g/cm³: 1.671
Fermi-level density of states, states/eV/atom: 0.726

---

Entry 7:
DFT (GGA-PBEsol) results for a relaxed ZrFe2Ni crystal.

Cell and atoms, written as CIF:
```
data_ZrFe2Ni
_chemical_formula_sum 'Zr1 Fe2 Ni1'
_space_group_name_H-M_alt 'P 4 m m'
_space_group_IT_number 99
_space_group_name_Hall 'P 4 -2'
_cell_length_a 3.059
_cell_length_b 3.059
_cell_length_c 5.703
_cell_angle_alpha 90.00
_cell_angle_beta 90.00
_cell_angle_gamma 90.00
loop_
_atom_site_label
_atom_site_type_symbol
_atom_site_fract_x
_atom_site_fract_y
_atom_site_fract_z
_atom_site_occupancy
Zr1 Zr 0.000 0.000 0.000 1
Fe1 Fe 0.000 0.000 0.496 1
Fe2 Fe 0.500 0.500 0.280 1
Ni1 Ni 0.500 0.500 0.724 1
```

Results
ΔE_f, eV/atom: -0.0439
E_tot, eV for the cell shown: -33.35
ρ, g/cm³: 8.142
Fermi-level density of states, states/eV/atom: 0.886

---

Entry 8:
DFT (GGA-PBEsol) results for a relaxed ScTlAs2 crystal.

Cell and atoms, written as CIF:
```
data_ScTlAs2
_chemical_formula_sum 'Sc1 Tl1 As2'
_space_group_name_H-M_alt 'P m m 2'
_space_group_IT_number 25
_space_group_name_Hall 'P 2 -2'
_cell_length_a 3.946
_cell_length_b 5.732
_cell_length_c 3.945
_cell_angle_alpha 90.00
_cell_angle_beta 90.00
_cell_angle_gamma 90.00
loop_
_atom_site_label
_atom_site_type_symbol
_atom_site_fract_x
_atom_site_fract_y
_atom_site_fract_z
_atom_site_occupancy
Sc1 Sc 0.000 0.000 0.000 1
Tl1 Tl 0.500 0.500 0.496 1
As1 As 0.000 0.500 0.996 1
As2 As 0.500 0.000 0.500 1
```

Results
Excess energy over the best structure of this formula in the dataset, kJ/mol of formula units: 0.0
ΔE_f, eV/atom: -0.4622
E_tot, eV for the cell shown: -21.30
ρ, g/cm³: 7.428
Fermi-level density of states, states/eV/atom: 0.498

---

Entry 9:
DFT (GGA-PBEsol) results for a relaxed VZnSi4O10 crystal.

Cell and atoms, written as CIF:
```
data_VZnSi4O10
_chemical_formula_sum 'V4 Zn4 Si16 O40'
_space_group_name_H-M_alt 'P 4/n c c'
_space_group_IT_number 130
_cell_length_a 7.217
_cell_length_b 7.217
_cell_length_c 14.879
_cell_angle_alpha 90.00
_cell_angle_beta 90.00
_cell_angle_gamma 90.00
loop_
_space_group_symop_operation_xyz
'x,y,z'
'-x,-y,-z'
'-y+1/2,x,z'
'y+1/2,-x,-z'
'-x+1/2,-y+1/2,z'
'x+1/2,y+1/2,-z'
'y,-x+1/2,z'
'-y,x+1/2,-z'
'x+1/2,-y,-z+1/2'
'-x+1/2,y,z+1/2'
'-y,-x,-z+1/2'
'y,x,z+1/2'
'-x,y+1/2,-z+1/2'
'x,-y+1/2,z+1/2'
'y+1/2,x+1/2,-z+1/2'
'-y+1/2,-x+1/2,z+1/2'
loop_
_atom_site_label
_atom_site_type_symbol
_atom_site_fract_x
_atom_site_fract_y
_atom_site_fract_z
_atom_site_occupancy
V1 V 0.250 0.250 0.069 1
Zn1 Zn 0.250 0.750 0.000 1
Si1 Si 0.014 0.592 0.145 1
O1 O 0.001 0.686 0.626 1
O2 O 0.019 0.668 0.426 1
O3 O 0.065 0.565 0.250 1
```

Results
Raw formation energy, eV/atom: -2.387
E_tot, eV for the cell shown: -499.57
ρ, g/cm³: 3.332
Fermi-level density of states, states/eV/atom: 0.515

---

Entry 10:
DFT (GGA-PBEsol) results for a relaxed CoW crystal.

Cell and atoms, written as CIF:
```
data_CoW
_chemical_formula_sum 'Co2 W2'
_space_group_name_H-M_alt 'P 63/m m c'
_space_group_IT_number 194
_space_group_name_Hall '-P 6c 2c'
_cell_length_a 3.6801
_cell_length_b 3.6801
_cell_length_c 4.7580
_cell_angle_alpha 90.00
_cell_angle_beta 90.00
_cell_angle_gamma 120.00
loop_
_atom_site_label
_atom_site_type_symbol
_atom_site_fract_x
_atom_site_fract_y
_atom_site_fract_z
_atom_site_occupancy
Co1 Co 0.0000 0.0000 0.0000 1
W1 W 0.3333 0.6667 0.2500 1
```

Results
ΔE_f, eV/atom: 0.5384
E_tot, eV for the cell shown: -40.94
ρ, g/cm³: 14.448
Fermi-level density of states, states/eV/atom: 0.953

---

Entry 11:
DFT (GGA-PBEsol) results for a relaxed Ba3Zn2B3O9F crystal.

Cell and atoms, written as CIF:
```
data_Ba3Zn2B3O9F
_chemical_formula_sum 'Ba12 Zn8 B12 O36 F4'
_space_group_name_H-M_alt 'P n m a'
_space_group_IT_number 62
_space_group_name_Hall '-P 2ac 2n'
_cell_length_a 8.153
_cell_length_b 17.347
_cell_length_c 7.097
_cell_angle_alpha 90.00
_cell_angle_beta 90.00
_cell_angle_gamma 90.00
loop_
_atom_site_label
_atom_site_type_symbol
_atom_site_fract_x
_atom_site_fract_y
_atom_site_fract_z
_atom_site_occupancy
Ba1 Ba 0.041 0.121 0.153 1
Ba2 Ba 0.185 0.250 0.637 1
Zn1 Zn 0.068 0.582 0.409 1
B1 B 0.194 0.750 0.561 1
B2 B 0.250 0.039 0.598 1
O1 O 0.088 0.550 0.154 1
O2 O 0.163 0.100 0.522 1
O3 O 0.167 0.682 0.460 1
O4 O 0.182 0.533 0.617 1
O5 O 0.250 0.250 0.243 1
F1 F 0.005 0.750 0.062 1
```

Results
Raw formation energy, eV/atom: -2.539
E_tot, eV for the cell shown: -502.16
ρ, g/cm³: 4.885
Fermi-level density of states, states/eV/atom: 0.000

---

Entry 12:
DFT (GGA-PBEsol) results for a relaxed LiFe2Br crystal.

Cell and atoms, written as CIF:
```
data_LiFe2Br
_chemical_formula_sum 'Li2 Fe4 Br2'
_space_group_name_H-M_alt 'I m m 2'
_space_group_IT_number 44
_space_group_name_Hall 'I 2 -2'
_cell_length_a 3.010
_cell_length_b 4.361
_cell_length_c 9.390
_cell_angle_alpha 90.00
_cell_angle_beta 90.00
_cell_angle_gamma 90.00
loop_
_atom_site_label
_atom_site_type_symbol
_atom_site_fract_x
_atom_site_fract_y
_atom_site_fract_z
_atom_site_occupancy
Li1 Li 0.000 0.000 0.000 1
Fe1 Fe 0.000 0.000 0.490 1
Fe2 Fe 0.000 0.500 0.175 1
Br1 Br 0.000 0.500 0.779 1
```

Results
Excess energy over the best structure of this formula in the dataset, kJ/mol of formula units: 89.9
Raw formation energy, eV/atom: 0.458
E_tot, eV for the cell shown: -39.86
ρ, g/cm³: 5.349
Fermi-level density of states, states/eV/atom: 0.777

---

Entry 13:
DFT (GGA-PBEsol) results for a relaxed ZnCd crystal.

Cell and atoms, written as CIF:
```
data_ZnCd
_chemical_formula_sum 'Zn4 Cd4'
_space_group_name_H-M_alt 'I 41/a m d'
_space_group_IT_number 141
_cell_length_a 4.103
_cell_length_b 4.103
_cell_length_c 8.396
_cell_angle_alpha 90.00
_cell_angle_beta 90.00
_cell_angle_gamma 90.00
loop_
_space_group_symop_operation_xyz
'x,y,z'
'-x,-y,-z'
'-y+1/4,x+3/4,z+1/4'
'y+1/4,-x+3/4,-z+1/4'
'-x+1/2,-y,z+1/2'
'x+1/2,y,-z+1/2'
'y+1/4,-x+1/4,z+3/4'
'-y+1/4,x+1/4,-z+3/4'
'x,-y,-z'
'-x,y,z'
'-y+1/4,-x+1/4,-z+3/4'
'y+1/4,x+1/4,z+3/4'
'-x+1/2,y,-z+1/2'
'x+1/2,-y,z+1/2'
'y+1/4,x+3/4,-z+1/4'
'-y+1/4,-x+3/4,z+1/4'
'x+1/2,y+1/2,z+1/2'
'-x+1/2,-y+1/2,-z+1/2'
'-y+3/4,x+1/4,z+3/4'
'y+3/4,-x+1/4,-z+3/4'
'-x,-y+1/2,z'
'x,y+1/2,-z'
'y+3/4,-x+3/4,z+1/4'
'-y+3/4,x+3/4,-z+1/4'
'x+1/2,-y+1/2,-z+1/2'
'-x+1/2,y+1/2,z+1/2'
'-y+3/4,-x+3/4,-z+1/4'
'y+3/4,x+3/4,z+1/4'
'-x,y+1/2,-z'
'x,-y+1/2,z'
'y+3/4,x+1/4,-z+3/4'
'-y+3/4,-x+1/4,z+3/4'
loop_
_atom_site_label
_atom_site_type_symbol
_atom_site_fract_x
_atom_site_fract_y
_atom_site_fract_z
_atom_site_occupancy
Zn1 Zn 0.000 0.250 0.375 1
Cd1 Cd 0.000 0.250 0.875 1
```

Results
ΔE_f, eV/atom: 0.0875
E_tot, eV for the cell shown: -10.42
ρ, g/cm³: 8.355
Fermi-level density of states, states/eV/atom: 0.317

---

Entry 14:
DFT (GGA-PBEsol) results for a relaxed LiLaMg crystal.

Cell and atoms, written as CIF:
```
data_LiLaMg
_chemical_formula_sum 'Li1 La1 Mg1'
_space_group_name_H-M_alt 'P -6 m 2'
_space_group_IT_number 187
_space_group_name_Hall 'P -6 2'
_cell_length_a 5.2664
_cell_length_b 5.2664
_cell_length_c 3.2762
_cell_angle_alpha 90.00
_cell_angle_beta 90.00
_cell_angle_gamma 120.00
loop_
_atom_site_label
_atom_site_type_symbol
_atom_site_fract_x
_atom_site_fract_y
_atom_site_fract_z
_atom_site_occupancy
Li1 Li 0.0000 0.0000 0.0000 1
La1 La 0.6667 0.3333 0.5000 1
Mg1 Mg 0.3333 0.6667 0.0000 1
```

Results
Excess energy over the best structure of this formula in the dataset, kJ/mol of formula units: 0.0
ΔE_f, eV/atom: -0.0180
E_tot, eV for the cell shown: -9.08
ρ, g/cm³: 3.591
Fermi-level density of states, states/eV/atom: 0.807

---

Entry 15:
DFT (GGA-PBEsol) results for a relaxed ZrAlF2 crystal.

Cell and atoms, written as CIF:
```
data_ZrAlF2
_chemical_formula_sum 'Zr3 Al3 F6'
_space_group_name_H-M_alt 'R -3 m'
_space_group_IT_number 166
_space_group_name_Hall '-R 3 2"'
_cell_length_a 2.8996
_cell_length_b 2.8996
_cell_length_c 22.6829
_cell_angle_alpha 90.00
_cell_angle_beta 90.00
_cell_angle_gamma 120.00
loop_
_atom_site_label
_atom_site_type_symbol
_atom_site_fract_x
_atom_site_fract_y
_atom_site_fract_z
_atom_site_occupancy
Zr1 Zr 0.0000 0.0000 0.0000 1
Al1 Al 0.0000 0.0000 0.5000 1
F1 F 0.0000 0.0000 0.4046 1
```

Results
Excess energy over the best structure of this formula in the dataset, kJ/mol of formula units: 0.0
Raw formation energy, eV/atom: -1.901
E_tot, eV for the cell shown: -73.92
ρ, g/cm³: 4.711
Fermi-level density of states, states/eV/atom: 0.448

---

Entry 16:
DFT (GGA-PBEsol) results for a relaxed Ag2N2O crystal.

Cell and atoms, written as CIF:
```
data_Ag2N2O
_chemical_formula_sum 'Ag4 N4 O2'
_space_group_name_H-M_alt 'P 4/m b m'
_space_group_IT_number 127
_space_group_name_Hall '-P 4 2ab'
_cell_length_a 5.806
_cell_length_b 5.806
_cell_length_c 6.858
_cell_angle_alpha 90.00
_cell_angle_beta 90.00
_cell_angle_gamma 90.00
loop_
_atom_site_label
_atom_site_type_symbol
_atom_site_fract_x
_atom_site_fract_y
_atom_site_fract_z
_atom_site_occupancy
Ag1 Ag 0.249 0.251 0.000 1
N1 N 0.068 0.432 0.500 1
O1 O 0.000 0.000 0.000 1
```

Results
Raw formation energy, eV/atom: 0.133
E_tot, eV for the cell shown: -56.52
ρ, g/cm³: 3.731

---

Entry 17:
DFT (GGA-PBEsol) results for a relaxed Sc2BeAu crystal.

Cell and atoms, written as CIF:
```
data_Sc2BeAu
_chemical_formula_sum 'Sc8 Be4 Au4'
_space_group_name_H-M_alt 'F m -3 m'
_space_group_IT_number 225
_space_group_name_Hall '-F 4 2 3'
_cell_length_a 6.552
_cell_length_b 6.552
_cell_length_c 6.552
_cell_angle_alpha 90.00
_cell_angle_beta 90.00
_cell_angle_gamma 90.00
loop_
_atom_site_label
_atom_site_type_symbol
_atom_site_fract_x
_atom_site_fract_y
_atom_site_fract_z
_atom_site_occupancy
Sc1 Sc 0.250 0.250 0.250 1
Be1 Be 0.000 0.000 0.000 1
Au1 Au 0.000 0.000 0.500 1
```

Results
ΔE_f, eV/atom: -0.3933
E_tot, eV for the cell shown: -90.83
ρ, g/cm³: 6.989
Fermi-level density of states, states/eV/atom: 0.609

---

Entry 18:
DFT (GGA-PBEsol) results for a relaxed SrCuSe crystal.

Cell and atoms, written as CIF:
```
data_SrCuSe
_chemical_formula_sum 'Sr4 Cu4 Se4'
_space_group_name_H-M_alt 'F -4 3 m'
_space_group_IT_number 216
_space_group_name_Hall 'F -4 2 3'
_cell_length_a 6.894
_cell_length_b 6.894
_cell_length_c 6.894
_cell_angle_alpha 90.00
_cell_angle_beta 90.00
_cell_angle_gamma 90.00
loop_
_atom_site_label
_atom_site_type_symbol
_atom_site_fract_x
_atom_site_fract_y
_atom_site_fract_z
_atom_site_occupancy
Sr1 Sr 0.000 0.000 0.000 1
Cu1 Cu 0.250 0.250 0.250 1
Se1 Se 0.250 0.250 0.750 1
```

Results
Raw formation energy, eV/atom: -0.309
E_tot, eV for the cell shown: -43.81
ρ, g/cm³: 4.666
Fermi-level density of states, states/eV/atom: 0.364